Record 1
The following is a DFT calculation (PBE-GGA) of a geometry-optimized PmEr2Sc4 structure.

Summary:
Energy of formation (eV per atom): 0.279

Structure (CIF):
```
data_PmEr2Sc4
_symmetry_space_group_name_H-M 'I -4'
_symmetry_Int_Tables_number 82
_symmetry_space_group_name_Hall 'I -4'
_cell_length_a 9.257
_cell_length_b 9.257
_cell_length_c 9.218
_cell_angle_alpha 90.00
_cell_angle_beta 90.00
_cell_angle_gamma 90.00
loop_
_atom_site_label
_atom_site_fract_x
_atom_site_fract_y
_atom_site_fract_z
Pm1 0.000 0.000 0.000
Pm2 0.000 0.500 0.250
Er1 0.124 0.250 0.624
Sc1 0.082 0.333 0.957
Sc2 0.083 0.167 0.292
```

Record 2
The following is a DFT calculation (PBE-GGA) of a geometry-optimized CaNd3Ga2 structure.

Summary:
Energy of formation (eV per atom): -0.340

Structure (CIF):
```
data_CaNd3Ga2
_symmetry_space_group_name_H-M 'C 1 2/m 1'
_symmetry_Int_Tables_number 12
_symmetry_space_group_name_Hall '-C 2y'
_cell_length_a 16.907
_cell_length_b 5.259
_cell_length_c 7.960
_cell_angle_alpha 90.00
_cell_angle_beta 97.84
_cell_angle_gamma 90.00
loop_
_atom_site_label
_atom_site_fract_x
_atom_site_fract_y
_atom_site_fract_z
Ca1 0.162 0.000 0.278
Nd1 0.052 0.000 0.809
Nd2 0.127 0.500 0.536
Nd3 0.177 0.500 0.993
Ga1 0.031 0.500 0.168
Ga2 0.213 0.000 0.679
```

Record 3
The following is a DFT calculation (PBE-GGA) of a geometry-optimized ZrSbTe2S structure.

Summary:
E_form (uncorrected) (eV per atom): 0.361

Structure (CIF):
```
data_ZrSbTe2S
_symmetry_space_group_name_H-M 'P 4/m m m'
_symmetry_Int_Tables_number 123
_symmetry_space_group_name_Hall '-P 4 2'
_cell_length_a 5.452
_cell_length_b 5.452
_cell_length_c 5.676
_cell_angle_alpha 90.00
_cell_angle_beta 90.00
_cell_angle_gamma 90.00
loop_
_atom_site_label
_atom_site_fract_x
_atom_site_fract_y
_atom_site_fract_z
Zr1 0.000 0.000 0.000
Sb1 0.000 0.000 0.500
Te1 0.000 0.500 0.000
S1 0.500 0.500 0.500
```

no.,ρ (g/cm³),relative energy among the computed polymorphs (meV per atom)
1,5.54,49
2,5.80,55
3,4.92,0